No. 1
A plane-wave DFT calculation with GGA-PBE was carried out for crystalline TlCu2Se at its relaxed geometry.

Calculated values
DFT total energy	-3.44	eV/atom
E_form (uncorrected)	73	meV per atom
offset from the most stable computed form	44	meV per atom

```
TlCu2Se
1.0
4.0287 -0.0414 -0.0613
2.1696 3.3948 -0.0613
1.6920 0.9154 5.7017
Cu Se Tl
2 1 1
direct
0.0262 0.0262 0.9238
0.4738 0.4738 0.5762
0.7500 0.7500 0.7500
0.2500 0.2500 0.2500
```



No. 2
A plane-wave DFT calculation with GGA-PBE was carried out for crystalline TlCu2Se at its relaxed geometry.

Calculated values
DFT total energy	-3.26	eV/atom
E_form (uncorrected)	256	meV per atom
offset from the most stable computed form	227	meV per atom

```
TlCu2Se
1.0
-1.9612 4.4148 2.2318
-1.9146 -4.0702 2.8435
0.4741 0.3227 4.4406
Cu Se Tl
2 1 1
direct
0.0000 0.0000 0.0000
0.5000 0.5000 0.0000
0.5000 0.0000 0.5000
0.0000 0.5000 0.5000
```



No. 3
A plane-wave DFT calculation with GGA-PBE was carried out for crystalline TlCu2Se at its relaxed geometry.

Calculated values
DFT total energy	-3.23	eV/atom
E_form (uncorrected)	281	meV per atom
offset from the most stable computed form	252	meV per atom

```
TlCu2Se
1.0
4.4343 0.0210 0.0000
-0.0235 4.4343 0.0000
0.0000 0.0000 3.7559
Cu Se Tl
2 1 1
direct
0.0000 0.0000 0.0000
0.5000 0.5000 0.0000
0.5000 0.0000 0.5000
0.0000 0.5000 0.5000
```



No. 4
A plane-wave DFT calculation with GGA-PBE was carried out for crystalline TlCu3Se4 at its relaxed geometry.

Calculated values
DFT total energy	-3.76	eV/atom
E_form (uncorrected)	-188	meV per atom

```
TlCu3Se4
1.0
-3.8170 5.2936 1.6136
-4.1072 -1.3068 -5.4285
-4.6025 -4.7269 4.6202
Tl Se Cu
2 8 6
direct
0.9949 0.1619 0.0000
0.4949 0.8381 0.5000
0.1429 0.7926 0.0000
0.5869 0.1588 0.0000
0.1456 0.3496 0.2732
0.6456 0.6504 0.2268
0.0869 0.8412 0.5000
0.6429 0.2074 0.5000
0.6456 0.6504 0.7732
0.1456 0.3496 0.7268
0.4979 0.8233 0.0000
0.0007 0.6658 0.2509
0.5007 0.3342 0.2491
0.9979 0.1767 0.5000
0.5007 0.3342 0.7509
0.0007 0.6658 0.7491
```



No. 5
A plane-wave DFT calculation with GGA-PBE was carried out for crystalline TlCu2Se2 at its relaxed geometry.

Calculated values
DFT total energy	-3.57	eV/atom
E_form (uncorrected)	-65	meV per atom
offset from the most stable computed form	189	meV per atom

```
TlCu2Se2
1.0
-3.9543 -2.8623 -0.7215
2.8646 -4.0120 0.2165
-1.3005 -3.6975 4.9218
Tl Cu Se
1 2 2
direct
0.0000 0.0000 0.0000
0.2823 0.2823 0.4354
0.7177 0.7177 0.5646
0.7500 0.2500 0.5000
0.2500 0.7500 0.5000
```



No. 6
A plane-wave DFT calculation with GGA-PBE was carried out for crystalline TlCu4Se2 at its relaxed geometry.

Calculated values
DFT total energy	-3.75	eV/atom
E_form (uncorrected)	-75	meV per atom

```
TlCu4Se2
1.0
-2.4221 -2.8080 -1.7495
1.4954 -2.4696 -2.9115
2.0841 -7.7609 4.7662
Tl Cu Se
1 4 2
direct
0.0000 0.0000 0.0000
0.4520 0.4520 0.6441
0.1609 0.1609 0.5173
0.5480 0.5480 0.3559
0.8391 0.8391 0.4827
0.2509 0.2509 0.2472
0.7491 0.7491 0.7528
```



No. 7
A plane-wave DFT calculation with GGA-PBE was carried out for crystalline TlCu3Se3 at its relaxed geometry.

Calculated values
DFT total energy	-3.79	eV/atom
E_form (uncorrected)	-206	meV per atom
offset from the most stable computed form	0	meV per atom

```
TlCu3Se3
1.0
6.8499 0.0000 0.0000
3.4249 5.9321 0.0000
3.4249 1.9774 7.9726
Tl Cu Se
2 6 6
direct
0.3338 0.3338 0.9986
0.6662 0.6662 0.0014
0.4684 0.7957 0.6021
0.7957 0.1339 0.6021
0.1339 0.4684 0.6021
0.8661 0.5316 0.3979
0.2043 0.8661 0.3979
0.5316 0.2043 0.3979
0.2332 0.5718 0.2909
0.9041 0.2332 0.2909
0.5718 0.9041 0.2909
0.4282 0.0959 0.7091
0.0959 0.7668 0.7091
0.7668 0.4282 0.7091
```



No. 8
A plane-wave DFT calculation with GGA-PBE was carried out for crystalline Tl2CuSe at its relaxed geometry.

Calculated values
DFT total energy	-2.84	eV/atom
E_form (uncorrected)	237	meV per atom
offset from the most stable computed form	355	meV per atom

```
Tl2CuSe
1.0
5.2029 0.0000 0.0000
2.6014 4.5058 0.0000
2.6014 1.5019 4.2481
Cu Se Tl
1 1 2
direct
0.5000 0.5000 0.5000
0.2500 0.2500 0.2500
0.0000 0.0000 0.0000
0.7500 0.7500 0.7500
```



No. 9
A plane-wave DFT calculation with GGA-PBE was carried out for crystalline TlCu2Se at its relaxed geometry.

Calculated values
DFT total energy	-3.25	eV/atom
E_form (uncorrected)	266	meV per atom
offset from the most stable computed form	236	meV per atom

```
TlCu2Se
1.0
3.4454 -1.4917 2.8620
2.7445 3.1329 2.2225
-0.3894 0.5865 4.6682
Tl Cu Se
1 2 1
direct
0.5000 0.5000 0.5000
0.2500 0.2500 0.2500
0.7500 0.7500 0.7500
0.0000 0.0000 0.0000
```



No. 10
A plane-wave DFT calculation with GGA-PBE was carried out for crystalline Tl3Cu2Se3 at its relaxed geometry.

Calculated values
DFT total energy	-3.46	eV/atom
E_form (uncorrected)	-241	meV per atom
offset from the most stable computed form	0	meV per atom

```
Tl3Cu2Se3
1.0
-1.1809 3.6018 1.7126
-3.2731 -0.5723 -6.1045
-11.2910 -6.8876 6.6997
Tl Cu Se
6 4 6
direct
0.9142 0.8285 0.3779
0.0858 0.1715 0.8779
0.9142 0.8285 0.1221
0.0858 0.1715 0.6221
0.6070 0.2141 0.2500
0.3930 0.7859 0.7500
0.7727 0.5454 0.9181
0.2273 0.4546 0.4181
0.7727 0.5454 0.5819
0.2273 0.4546 0.0819
0.6407 0.2813 0.4615
0.3593 0.7187 0.9615
0.6407 0.2813 0.0385
0.3593 0.7187 0.5385
0.2728 0.5455 0.2500
0.7272 0.4545 0.7500
```



No. 11
A plane-wave DFT calculation with GGA-PBE was carried out for crystalline TlCu2Se2 at its relaxed geometry.

Calculated values
DFT total energy	-3.35	eV/atom
E_form (uncorrected)	154	meV per atom
offset from the most stable computed form	408	meV per atom

```
TlCu2Se2
1.0
8.1926 0.0000 0.0000
0.0000 8.1926 0.0000
0.0000 0.0000 3.0088
Tl Cu Se
2 4 4
direct
0.0000 0.0000 0.0000
0.5000 0.5000 0.0000
0.1132 0.6132 0.5000
0.6132 0.8868 0.5000
0.8868 0.3868 0.5000
0.3868 0.1132 0.5000
0.3440 0.8440 0.0000
0.8440 0.6560 0.0000
0.6560 0.1560 0.0000
0.1560 0.3440 0.0000
```



No. 12
A plane-wave DFT calculation with GGA-PBE was carried out for crystalline TlCu2Se at its relaxed geometry.

Calculated values
DFT total energy	-3.27	eV/atom
E_form (uncorrected)	242	meV per atom
offset from the most stable computed form	213	meV per atom

```
TlCu2Se
1.0
3.3871 0.0000 0.0000
0.0000 3.3885 0.0000
0.0000 0.0000 6.5970
Cu Se Tl
2 1 1
direct
0.0000 0.0000 0.0610
0.0000 0.0000 0.4390
0.5000 0.5000 0.2500
0.5000 0.5000 0.7500
```



No. 13
A plane-wave DFT calculation with GGA-PBE was carried out for crystalline TlCu3Se at its relaxed geometry.

Calculated values
DFT total energy	-3.26	eV/atom
E_form (uncorrected)	367	meV per atom
offset from the most stable computed form	0	meV per atom

```
TlCu3Se
1.0
4.7060 0.0000 0.0000
0.0000 4.7060 0.0000
0.0000 0.0000 4.7060
Tl Cu Se
1 3 1
direct
0.5000 0.5000 0.5000
0.0000 0.5000 0.0000
0.0000 0.0000 0.5000
0.5000 0.0000 0.0000
0.0000 0.0000 0.0000
```



No. 14
A plane-wave DFT calculation with GGA-PBE was carried out for crystalline TlCuSe3 at its relaxed geometry.

Calculated values
DFT total energy	-3.20	eV/atom
E_form (uncorrected)	182	meV per atom
offset from the most stable computed form	320	meV per atom

```
TlCuSe3
1.0
4.9514 0.0000 0.0000
0.0000 4.9514 0.0000
0.0000 0.0000 4.9514
Tl Cu Se
1 1 3
direct
0.5000 0.5000 0.5000
0.0000 0.0000 0.0000
0.0000 0.5000 0.0000
0.0000 0.0000 0.5000
0.5000 0.0000 0.0000
```



No. 15
A plane-wave DFT calculation with GGA-PBE was carried out for crystalline Tl2CuSe at its relaxed geometry.

Calculated values
DFT total energy	-2.93	eV/atom
E_form (uncorrected)	153	meV per atom
offset from the most stable computed form	270	meV per atom

```
Tl2CuSe
1.0
4.9600 0.0453 -0.0499
-1.1886 4.8157 -0.0499
0.0455 0.0586 4.1843
Cu Se Tl
1 1 2
direct
0.5000 0.0000 0.5000
0.0000 0.5000 0.5000
0.0000 0.0000 0.0000
0.5000 0.5000 0.0000
```



No. 16
A plane-wave DFT calculation with GGA-PBE was carried out for crystalline TlCu3Se3 at its relaxed geometry.

Calculated values
DFT total energy	-3.78	eV/atom
E_form (uncorrected)	-190	meV per atom
offset from the most stable computed form	16	meV per atom

```
TlCu3Se3
1.0
6.8259 0.0000 0.0000
0.0000 6.8259 0.0000
0.0000 0.0000 6.8259
Tl Cu Se
2 6 6
direct
0.5000 0.5000 0.5000
0.0000 0.0000 0.0000
0.2500 0.0000 0.5000
0.0000 0.5000 0.2500
0.5000 0.7500 0.0000
0.7500 0.0000 0.5000
0.0000 0.5000 0.7500
0.5000 0.2500 0.0000
0.0000 0.2500 0.5000
0.0000 0.7500 0.5000
0.5000 0.0000 0.7500
0.7500 0.5000 0.0000
0.5000 0.0000 0.2500
0.2500 0.5000 0.0000
```



No. 17
A plane-wave DFT calculation with GGA-PBE was carried out for crystalline TlCu2Se at its relaxed geometry.

Calculated values
DFT total energy	-3.45	eV/atom
E_form (uncorrected)	61	meV per atom
offset from the most stable computed form	32	meV per atom

```
TlCu2Se
1.0
-0.8951 3.0261 -2.7989
-3.7476 -1.8156 -0.7644
-3.1396 2.1528 3.3316
Cu Se Tl
2 1 1
direct
0.0000 0.9699 0.1458
0.5000 0.2611 0.1986
0.0000 0.4092 0.3738
0.5000 0.8598 0.7818
```



No. 18
A plane-wave DFT calculation with GGA-PBE was carried out for crystalline TlCuSe4 at its relaxed geometry.

Calculated values
DFT total energy	-2.93	eV/atom
E_form (uncorrected)	473	meV per atom
offset from the most stable computed form	559	meV per atom

```
TlCuSe4
1.0
0.0000 4.1306 4.1306
4.1306 0.0000 4.1306
4.1306 4.1306 0.0000
Tl Cu Se
1 1 4
direct
0.7500 0.7500 0.7500
0.0000 0.0000 0.0000
0.8773 0.3742 0.3742
0.3742 0.3742 0.8773
0.3742 0.8773 0.3742
0.3742 0.3742 0.3742
```



No. 19
A plane-wave DFT calculation with GGA-PBE was carried out for crystalline TlCu4Se3 at its relaxed geometry.

Calculated values
DFT total energy	-3.83	eV/atom
E_form (uncorrected)	-183	meV per atom

```
TlCu4Se3
1.0
-2.9316 0.3781 2.5794
-2.5965 -0.0764 -2.9399
-0.6138 -10.2821 0.8094
Tl Se Cu
1 3 4
direct
0.0000 0.0000 0.5000
0.5000 0.5000 0.3009
0.5000 0.5000 0.6991
0.0000 0.0000 0.0000
0.0000 0.5000 0.1608
0.0000 0.5000 0.8392
0.5000 0.0000 0.1608
0.5000 0.0000 0.8392
```



No. 20
A plane-wave DFT calculation with GGA-PBE was carried out for crystalline Tl5Cu2Se5 at its relaxed geometry.

Calculated values
DFT total energy	-3.36	eV/atom
E_form (uncorrected)	-243	meV per atom

```
Tl5Cu2Se5
1.0
-1.8980 -2.2426 3.0141
7.4661 -0.6532 1.2764
-2.4062 9.3473 5.4396
Tl Cu Se
5 2 5
direct
0.5000 0.0000 0.5000
0.6516 0.3032 0.0377
0.7542 0.5085 0.3497
0.2458 0.4915 0.6503
0.3484 0.6968 0.9623
0.0314 0.0628 0.7883
0.9686 0.9372 0.2117
0.1011 0.2023 0.3939
0.6113 0.2225 0.7544
0.3887 0.7775 0.2456
0.8989 0.7977 0.6061
0.0000 0.0000 0.0000
```



No. 21
A plane-wave DFT calculation with GGA-PBE was carried out for crystalline Tl2Cu2Se at its relaxed geometry.

Calculated values
DFT total energy	-3.20	eV/atom
E_form (uncorrected)	84	meV per atom

```
Tl2Cu2Se
1.0
6.8259 0.0000 0.0000
0.0000 6.8259 0.0000
0.0000 0.0000 4.5739
Tl Cu Se
4 4 2
direct
0.1721 0.6721 0.5000
0.6721 0.8279 0.5000
0.8279 0.3279 0.5000
0.3279 0.1721 0.5000
0.3694 0.8694 0.0000
0.8694 0.6306 0.0000
0.6306 0.1306 0.0000
0.1306 0.3694 0.0000
0.0000 0.0000 0.0000
0.5000 0.5000 0.0000
```



No. 22
A plane-wave DFT calculation with GGA-PBE was carried out for crystalline Tl2CuSe at its relaxed geometry.

Calculated values
DFT total energy	-2.87	eV/atom
E_form (uncorrected)	204	meV per atom
offset from the most stable computed form	321	meV per atom

```
Tl2CuSe
1.0
4.3642 -2.5203 1.4126
0.0632 -2.8735 4.3740
0.2212 -5.2205 -0.3014
Tl Cu Se
2 1 1
direct
0.2500 0.2500 0.2500
0.7500 0.7500 0.7500
0.0000 0.0000 0.0000
0.5000 0.5000 0.5000
```



No. 23
A plane-wave DFT calculation with GGA-PBE was carried out for crystalline Tl3Cu2Se2 at its relaxed geometry.

Calculated values
DFT total energy	-3.30	eV/atom
E_form (uncorrected)	-124	meV per atom

```
Tl3Cu2Se2
1.0
6.6078 0.0000 0.0000
0.0000 8.2856 0.0000
0.0000 0.0000 12.8784
Tl Cu Se
12 8 8
direct
0.1362 0.6223 0.1060
0.8638 0.3777 0.6060
0.8638 0.1223 0.3940
0.1362 0.8777 0.8940
0.8638 0.3777 0.8940
0.1362 0.6223 0.3940
0.1362 0.8777 0.6060
0.8638 0.1223 0.1060
0.2903 0.3024 0.2500
0.7097 0.6976 0.7500
0.7097 0.8024 0.2500
0.2903 0.1976 0.7500
0.5864 0.4687 0.0869
0.4136 0.5313 0.5869
0.4136 0.9687 0.4131
0.5864 0.0313 0.9131
0.4136 0.5313 0.9131
0.5864 0.4687 0.4131
0.5864 0.0313 0.5869
0.4136 0.9687 0.0869
0.3952 0.2500 0.0000
0.6048 0.7500 0.5000
0.6048 0.7500 0.0000
0.3952 0.2500 0.5000
0.7634 0.4290 0.2500
0.2366 0.5710 0.7500
0.2366 0.9290 0.2500
0.7634 0.0710 0.7500
```



No. 24
A plane-wave DFT calculation with GGA-PBE was carried out for crystalline TlCu2Se at its relaxed geometry.

Calculated values
DFT total energy	-3.43	eV/atom
E_form (uncorrected)	85	meV per atom
offset from the most stable computed form	56	meV per atom

```
TlCu2Se
1.0
-3.2697 0.0706 2.1105
-1.9587 -2.1553 -2.9626
1.4329 -4.5649 2.3728
Cu Se Tl
2 1 1
direct
0.0000 0.2483 0.9799
0.0000 0.2517 0.5201
0.5000 0.2500 0.2500
0.5000 0.7500 0.7500
```